# LaP2HPb (PBE-GGA, relaxed)
# VASP energy ... -4.66 eV/atom
data_LaP2HPb
_space_group_name_H-M_alt 'P 1'
_space_group_IT_number 1
_space_group_name_Hall 'P 1'
_cell_length_a 5.305
_cell_length_b 3.900
_cell_length_c 5.305
_cell_angle_alpha 90.00
_cell_angle_beta 90.00
_cell_angle_gamma 90.00
loop_
_atom_site_label
_atom_site_type_symbol
_atom_site_fract_x
_atom_site_fract_y
_atom_site_fract_z
_atom_site_occupancy
P1 P 0.500 0.000 0.000 1
P2 P 0.000 0.000 0.500 1
La1 La 0.500 0.500 0.500 1
Pb1 Pb 0.000 0.000 0.000 1
H1 H 0.000 0.500 0.000 1

***

# LaAlRuO6 (PBE-GGA, relaxed)
# VASP energy ... -7.27 eV/atom
data_LaAlRuO6
_space_group_name_H-M_alt 'P 1'
_space_group_IT_number 1
_space_group_name_Hall 'P 1'
_cell_length_a 4.900
_cell_length_b 4.900
_cell_length_c 9.672
_cell_angle_alpha 90.00
_cell_angle_beta 90.00
_cell_angle_gamma 90.00
loop_
_atom_site_label
_atom_site_type_symbol
_atom_site_fract_x
_atom_site_fract_y
_atom_site_fract_z
_atom_site_occupancy
Al1 Al 0.500 0.500 0.846 1
Al2 Al 0.000 0.000 0.346 1
O1 O 0.760 0.240 0.812 1
O2 O 0.754 0.246 0.196 1
O3 O 0.329 0.329 0.001 1
O4 O 0.740 0.740 0.312 1
O5 O 0.246 0.754 0.196 1
O6 O 0.254 0.254 0.696 1
O7 O 0.746 0.746 0.696 1
O8 O 0.171 0.829 0.501 1
O9 O 0.671 0.671 0.001 1
O10 O 0.240 0.760 0.812 1
O11 O 0.260 0.260 0.312 1
O12 O 0.829 0.171 0.501 1
Ru1 Ru 0.000 0.000 0.657 1
Ru2 Ru 0.500 0.500 0.157 1
La1 La 0.500 0.500 0.477 1
La2 La 0.000 0.000 0.977 1

***

# Pm5ThPb6 (PBE-GGA, relaxed)
# VASP energy ... -4.91 eV/atom
# Offset from the most stable computed form ... 0 meV per atom
# Calculated formation energy ... -462 meV per atom
data_Pm5ThPb6
_space_group_name_H-M_alt 'P 1'
_space_group_IT_number 1
_space_group_name_Hall 'P 1'
_cell_length_a 5.016
_cell_length_b 9.178
_cell_length_c 9.341
_cell_angle_alpha 119.42
_cell_angle_beta 105.57
_cell_angle_gamma 90.00
loop_
_atom_site_label
_atom_site_type_symbol
_atom_site_fract_x
_atom_site_fract_y
_atom_site_fract_z
_atom_site_occupancy
Pm1 Pm 0.000 0.500 0.000 1
Pm2 Pm 0.666 0.166 0.331 1
Pm3 Pm 0.668 0.668 0.335 1
Pm4 Pm 0.332 0.332 0.665 1
Pm5 Pm 0.334 0.834 0.669 1
Pb1 Pb 0.500 0.252 0.000 1
Pb2 Pb 0.500 0.748 0.000 1
Pb3 Pb 0.167 0.418 0.334 1
Pb4 Pb 0.167 0.916 0.334 1
Pb5 Pb 0.833 0.084 0.666 1
Pb6 Pb 0.833 0.582 0.666 1
Th1 Th 0.000 0.000 0.000 1

***

# Ca2AsAu (PBE-GGA, relaxed)
# VASP energy ... -3.94 eV/atom
# Calculated formation energy ... -957 meV per atom
data_Ca2AsAu
_space_group_name_H-M_alt 'P 1'
_space_group_IT_number 1
_space_group_name_Hall 'P 1'
_cell_length_a 5.917
_cell_length_b 5.917
_cell_length_c 4.443
_cell_angle_alpha 89.99
_cell_angle_beta 89.99
_cell_angle_gamma 40.34
loop_
_atom_site_label
_atom_site_type_symbol
_atom_site_fract_x
_atom_site_fract_y
_atom_site_fract_z
_atom_site_occupancy
Ca1 Ca 0.263 0.263 0.375 1
Ca2 Ca 0.987 0.987 0.875 1
As1 As 0.539 0.539 0.375 1
Au1 Au 0.710 0.710 0.875 1

***

# PmHoP2 (PBE-GGA, relaxed)
# VASP energy ... -6.44 eV/atom
# Offset from the most stable computed form ... 180 meV per atom
# Calculated formation energy ... -1404 meV per atom
data_PmHoP2
_space_group_name_H-M_alt 'P 1'
_space_group_IT_number 1
_space_group_name_Hall 'P 1'
_cell_length_a 4.023
_cell_length_b 4.023
_cell_length_c 7.285
_cell_angle_alpha 73.97
_cell_angle_beta 73.97
_cell_angle_gamma 60.00
loop_
_atom_site_label
_atom_site_type_symbol
_atom_site_fract_x
_atom_site_fract_y
_atom_site_fract_z
_atom_site_occupancy
P1 P 0.085 0.085 0.745 1
P2 P 0.248 0.248 0.256 1
Ho1 Ho 0.498 0.498 0.507 1
Pm1 Pm 0.669 0.669 0.992 1

***

# Dy7In2Os2 (PBE-GGA, relaxed)
# VASP energy ... -5.68 eV/atom
# Calculated formation energy ... -211 meV per atom
data_Dy7In2Os2
_space_group_name_H-M_alt 'P 1'
_space_group_IT_number 1
_space_group_name_Hall 'P 1'
_cell_length_a 6.812
_cell_length_b 7.082
_cell_length_c 6.812
_cell_angle_alpha 90.00
_cell_angle_beta 106.00
_cell_angle_gamma 90.00
loop_
_atom_site_label
_atom_site_type_symbol
_atom_site_fract_x
_atom_site_fract_y
_atom_site_fract_z
_atom_site_occupancy
Dy1 Dy 0.500 0.759 0.500 1
Dy2 Dy 0.500 0.241 0.500 1
Dy3 Dy 0.500 0.752 0.000 1
Dy4 Dy 0.000 0.248 0.500 1
Dy5 Dy 0.000 0.752 0.500 1
Dy6 Dy 0.000 0.000 0.000 1
Dy7 Dy 0.500 0.248 0.000 1
In1 In 0.825 0.500 0.825 1
In2 In 0.175 0.500 0.175 1
Os1 Os 0.708 0.000 0.292 1
Os2 Os 0.292 0.000 0.708 1

***

How do the records compare in V? In the order shown, they have 22.0 12.9 29.7 25.2 24.2 28.7 Å³ per atom.